(1)
Below is a relaxed Mg2TiCd2 crystal, with properties calculated at the PBE level.

Values from the calculation:
The calculation puts the magnetization at 0.00 μB per atom. The formation energy comes out at 868 meV/atom. For the energy above the lowest structure with this stoichiometry, the calculation gives 0.737 eV/atom.

Geometry as POSCAR:
```
Mg2TiCd2
1.0
4.9928 0.0000 0.0000
0.0000 4.9928 0.0000
0.0000 0.0000 5.0246
Mg Ti Cd
2 1 2
Direct
0.0000 0.0000 0.0000
0.0000 0.0000 0.5000
0.5000 0.5000 0.0000
0.0000 0.5000 0.5000
0.5000 0.0000 0.5000
```


(2)
Below is a relaxed Mg2TiCd2 crystal, with properties calculated at the PBE level.

Values from the calculation:
The calculation puts the magnetization at 0.36 μB per atom. The formation energy comes out at 131 meV/atom. For the energy above the lowest structure with this stoichiometry, the calculation gives 0.000 eV/atom.

Geometry as POSCAR:
```
Mg2TiCd2
1.0
8.0624 0.0000 0.0000
0.0000 8.0624 0.0000
0.0000 0.0000 3.2436
Mg Ti Cd
4 2 4
Direct
0.1724 0.3276 0.0000
0.3276 0.8276 0.0000
0.6724 0.1724 0.0000
0.8276 0.6724 0.0000
0.0000 0.0000 0.5000
0.5000 0.5000 0.5000
0.1301 0.6301 0.5000
0.3699 0.1301 0.5000
0.6301 0.8699 0.5000
0.8699 0.3699 0.5000
```


(3)
Below is a relaxed MgTiCd6 crystal, with properties calculated at the PBE level.

Values from the calculation:
The calculation puts the magnetization at 0.17 μB per atom. The formation energy comes out at -5 meV/atom.

Geometry as POSCAR:
```
MgTiCd6
1.0
4.3728 0.0000 0.0000
0.0000 4.3728 0.0000
0.0000 0.0000 8.8145
Mg Ti Cd
1 1 6
Direct
0.0000 0.0000 0.0000
0.0000 0.0000 0.5000
0.0000 0.5000 0.2561
0.0000 0.5000 0.7439
0.5000 0.0000 0.2561
0.5000 0.0000 0.7439
0.5000 0.5000 0.0000
0.5000 0.5000 0.5000
```


(4)
Below is a relaxed Mg3TiCd crystal, with properties calculated at the PBE level.

Values from the calculation:
The calculation puts the magnetization at 0.65 μB per atom. The formation energy comes out at 929 meV/atom. For the energy above the lowest structure with this stoichiometry, the calculation gives 0.170 eV/atom.

Geometry as POSCAR:
```
Mg3TiCd
1.0
5.4272 0.0000 0.0000
0.0000 5.4272 0.0000
0.0000 0.0000 5.4272
Mg Ti Cd
3 1 1
Direct
0.0000 0.0000 0.5000
0.0000 0.5000 0.0000
0.5000 0.0000 0.0000
0.0000 0.0000 0.0000
0.5000 0.5000 0.5000
```


(5)
Below is a relaxed Mg5TiCd6 crystal, with properties calculated at the PBE level.

Values from the calculation:
The calculation puts the magnetization at 0.00 μB per atom. The formation energy comes out at -64 meV/atom.

Geometry as POSCAR:
```
Mg5TiCd6
1.0
4.9539 0.0000 0.0000
-0.0021 6.7050 0.0000
-2.3409 -3.3454 7.5393
Mg Ti Cd
5 1 6
Direct
0.0000 0.0000 0.0000
0.3364 0.3317 0.6619
0.3384 0.8323 0.6645
0.6616 0.1677 0.3355
0.6636 0.6683 0.3381
0.0000 0.5000 0.0000
0.1557 0.4192 0.3250
0.1561 0.9063 0.3257
0.4991 0.7399 0.0007
0.5009 0.2601 0.9993
0.8439 0.0937 0.6743
0.8443 0.5808 0.6750
```


(6)
Below is a relaxed Mg14TiCd crystal, with properties calculated at the PBE level.

Values from the calculation:
The calculation puts the magnetization at 0.00 μB per atom. The formation energy comes out at 20 meV/atom.

Geometry as POSCAR:
```
Mg14TiCd
1.0
6.3398 0.0000 0.0000
-3.1699 5.4905 0.0000
0.0000 0.0000 10.1516
Mg Ti Cd
14 1 1
Direct
0.0000 0.0000 0.2440
0.0000 0.0000 0.7560
0.0094 0.5047 0.2444
0.0094 0.5047 0.7556
0.3325 0.1663 0.5000
0.3372 0.1686 0.0000
0.4953 0.5047 0.2444
0.4953 0.5047 0.7556
0.4953 0.9906 0.2444
0.4953 0.9906 0.7556
0.8314 0.1686 0.0000
0.8314 0.6628 0.0000
0.8337 0.1663 0.5000
0.8337 0.6675 0.5000
0.3333 0.6667 0.0000
0.3333 0.6667 0.5000
```


(7)
Below is a relaxed Mg3TiCd crystal, with properties calculated at the PBE level.

Values from the calculation:
The calculation puts the magnetization at 0.00 μB per atom. The formation energy comes out at 759 meV/atom. For the energy above the lowest structure with this stoichiometry, the calculation gives 0.000 eV/atom.

Geometry as POSCAR:
```
Mg3TiCd
1.0
5.0692 0.0000 0.0000
0.0000 5.0692 0.0000
0.0000 0.0000 5.0692
Mg Ti Cd
3 1 1
Direct
0.0000 0.0000 0.5000
0.0000 0.5000 0.0000
0.5000 0.0000 0.0000
0.5000 0.5000 0.5000
0.0000 0.0000 0.0000
```


(8)
Below is a relaxed MgTiTlCd crystal, with properties calculated at the PBE level.

Values from the calculation:
The calculation puts the magnetization at 0.30 μB per atom. The formation energy comes out at 135 meV/atom.

Geometry as POSCAR:
```
MgTiTlCd
1.0
0.0000 3.4748 3.4748
3.4748 0.0000 3.4748
3.4748 3.4748 0.0000
Mg Ti Tl Cd
1 1 1 1
Direct
0.0000 0.0000 0.0000
0.5000 0.5000 0.5000
0.2500 0.2500 0.2500
0.7500 0.7500 0.7500
```


(9)
Below is a relaxed MgTiZnCd crystal, with properties calculated at the PBE level.

Values from the calculation:
The calculation puts the magnetization at 0.08 μB per atom. The formation energy comes out at -89 meV/atom.

Geometry as POSCAR:
```
MgTiZnCd
1.0
3.0394 0.0000 0.0000
0.0000 3.0394 0.0000
0.0000 0.0000 7.8690
Mg Ti Zn Cd
1 1 1 1
Direct
0.0000 0.0000 0.0000
0.0000 0.0000 0.5483
0.5000 0.5000 0.7640
0.5000 0.5000 0.2788
```


(10)
Below is a relaxed Mg8Tl2Cd crystal, with properties calculated at the PBE level.

Values from the calculation:
The calculation puts the magnetization at 0.00 μB per atom. The formation energy comes out at -17 meV/atom. For the energy above the lowest structure with this stoichiometry, the calculation gives 0.017 eV/atom.

Geometry as POSCAR:
```
Mg8Tl2Cd
1.0
-2.4510 3.6864 7.1384
2.4510 -3.6864 7.1384
2.4510 3.6864 -7.1384
Mg Tl Cd
8 2 1
Direct
0.1203 0.3495 0.7708
0.1625 0.1625 0.0000
0.2751 0.0000 0.2751
0.4214 0.6505 0.7708
0.5786 0.3495 0.2292
0.7249 0.0000 0.7249
0.8375 0.8375 0.0000
0.8797 0.6505 0.2292
0.3176 0.8176 0.5000
0.6824 0.1824 0.5000
0.0000 0.5000 0.5000
```


(11)
Below is a relaxed Mg12Tl3Cd crystal, with properties calculated at the PBE level.

Values from the calculation:
The calculation puts the magnetization at 0.00 μB per atom. The formation energy comes out at -44 meV/atom.

Geometry as POSCAR:
```
Mg12Tl3Cd
1.0
4.5036 0.0000 0.0000
0.0000 4.5036 0.0000
0.0000 0.0000 18.0885
Mg Tl Cd
12 3 1
Direct
0.0000 0.0000 0.0000
0.0000 0.0000 0.2470
0.0000 0.0000 0.5000
0.0000 0.0000 0.7530
0.0000 0.5000 0.1209
0.0000 0.5000 0.3733
0.0000 0.5000 0.6267
0.0000 0.5000 0.8791
0.5000 0.0000 0.1209
0.5000 0.0000 0.3733
0.5000 0.0000 0.6267
0.5000 0.0000 0.8791
0.5000 0.5000 0.2474
0.5000 0.5000 0.5000
0.5000 0.5000 0.7526
0.5000 0.5000 0.0000
```


(12)
Below is a relaxed Mg5Tl8Cd crystal, with properties calculated at the PBE level.

Values from the calculation:
The calculation puts the magnetization at 0.00 μB per atom. The formation energy comes out at 35 meV/atom.

Geometry as POSCAR:
```
Mg5Tl8Cd
1.0
-4.5373 4.5373 4.5880
4.5373 -4.5373 4.5880
4.5373 4.5373 -4.5880
Mg Tl Cd
5 8 1
Direct
0.0000 0.0000 0.0000
0.2888 0.1997 0.6723
0.3836 0.7112 0.9109
0.5274 0.6164 0.3277
0.8003 0.4726 0.0891
0.0127 0.7467 0.6024
0.0856 0.3578 0.9145
0.1443 0.4104 0.3976
0.2533 0.8557 0.2661
0.4433 0.1712 0.0855
0.5896 0.9873 0.7339
0.6422 0.5567 0.7278
0.8288 0.9144 0.2722
0.7500 0.2500 0.5000
```


In states/eV per cell, the density of states at the Fermi level values for the records above are, in order, 4.43 7.07 5.28 5.79 4.82 6.86 7.18 4.77 3.29 3.42 6.64 5.54.